No. 1
! TaGaAs3 (meta-GGA SCAN, PBEsol geometry); values from VASP
! size of the total moment = 0.000 μB/atom
! calculated volume = 24.34 A^3/atom
! electronic total energy = -28.360 eV/atom
! symmetry = Pm-3m (221)
&SYSTEM
  ibrav = 0, nat = 5, ntyp = 3
/
ATOMIC_SPECIES
As 74.92 As.upf
Ga 69.72 Ga.upf
Ta 180.95 Ta.upf
ATOMIC_POSITIONS angstrom
As -0.863 -2.135 -0.916
As -0.962 -0.561 2.214
As -2.114 1.126 -0.634
Ga -3.939 -1.569 0.664
Ta 0.000 0.000 0.000
CELL_PARAMETERS angstrom
-4.228 2.252 -1.267
-1.725 -4.269 -1.831
-1.924 -1.121 4.427

No. 2
! HfReTeN2 (meta-GGA SCAN, PBEsol geometry); values from VASP
! size of the total moment = 1.183 μB/atom
! calculated volume = 19.34 A^3/atom
! electronic total energy = -36.883 eV/atom
! symmetry = P4/mmm (123)
&SYSTEM
  ibrav = 0, nat = 5, ntyp = 4
/
ATOMIC_SPECIES
Re 186.21 Re.upf
Te 127.60 Te.upf
Hf 178.49 Hf.upf
N 14.01 N.upf
ATOMIC_POSITIONS angstrom
Re 2.024 2.024 2.952
Te 0.000 0.000 2.952
Hf 0.000 0.000 0.000
N 0.000 2.024 0.000
N 2.024 0.000 0.000
CELL_PARAMETERS angstrom
4.047 0.000 0.000
0.000 4.047 0.000
0.000 0.000 5.904

No. 3
! ZnCu2Mo (meta-GGA SCAN, PBEsol geometry); values from VASP
! size of the total moment = 0.000 μB/atom
! calculated volume = 13.05 A^3/atom
! electronic total energy = -19.514 eV/atom
! symmetry = R3m (160)
&SYSTEM
  ibrav = 0, nat = 4, ntyp = 3
/
ATOMIC_SPECIES
Cu 63.55 Cu.upf
Mo 95.94 Mo.upf
Zn 65.41 Zn.upf
ATOMIC_POSITIONS angstrom
Cu 1.319 0.762 8.615
Cu 3.958 2.285 6.605
Mo 2.639 1.524 4.386
Zn 1.319 0.762 2.040
CELL_PARAMETERS angstrom
2.639 0.000 0.000
1.319 2.285 0.000
1.319 0.762 8.658

No. 4
! MgS2O7 (meta-GGA SCAN, PBEsol geometry); values from VASP
! size of the total moment = 0.000 μB/atom
! calculated volume = 13.63 A^3/atom
! electronic total energy = -8.684 eV/atom
! symmetry = P-1 (2)
&SYSTEM
  ibrav = 0, nat = 20, ntyp = 3
/
ATOMIC_SPECIES
Mg 24.30 Mg.upf
S 32.06 S.upf
O 16.00 O.upf
ATOMIC_POSITIONS angstrom
Mg 0.972 -3.289 -0.647
Mg -0.537 -0.175 4.605
S 1.653 -4.408 5.763
S -0.782 -2.520 2.153
S 2.320 -1.705 5.073
S -1.449 -5.223 2.843
O 0.624 -3.915 6.654
O 0.247 -3.013 1.261
O 2.943 -4.623 6.395
O -2.072 -2.305 1.521
O 1.211 -5.505 4.937
O -0.341 -1.423 2.979
O 1.878 -3.236 4.642
O -1.007 -3.691 3.274
O -1.760 -1.529 5.532
O 2.631 -5.399 2.383
O 1.106 -1.045 5.504
O -0.235 -5.883 2.412
O 3.287 -1.848 6.145
O -2.416 -5.080 1.771
CELL_PARAMETERS angstrom
-4.607 -0.289 1.721
1.944 -6.578 -1.293
3.533 -0.061 7.488

No. 5
! Ba2LiB5O10 (meta-GGA SCAN, PBEsol geometry); values from VASP
! size of the total moment = 0.000 μB/atom
! calculated volume = 11.59 A^3/atom
! electronic total energy = -12.928 eV/atom
! symmetry = P2_1/m (11)
&SYSTEM
  ibrav = 0, nat = 36, ntyp = 4
/
ATOMIC_SPECIES
Ba 137.33 Ba.upf
Li 6.94 Li.upf
B 10.81 B.upf
O 16.00 O.upf
ATOMIC_POSITIONS angstrom
Ba 0.266 -3.995 -3.924
Ba 0.149 -8.110 3.283
Ba 0.601 -12.075 5.802
Ba 0.719 -7.960 -1.405
Li 2.212 -4.488 -0.629
Li -1.344 -11.582 2.507
B 1.291 -12.702 2.635
B -0.181 -5.488 0.590
B -0.424 -3.368 -0.757
B 1.049 -10.582 1.288
B 3.022 -6.008 -3.168
B -2.154 -10.062 5.046
B -2.676 -2.902 -1.922
B 3.066 -8.982 1.140
B 3.543 -13.168 3.800
B -2.198 -7.088 0.738
O 0.411 -2.444 -1.561
O -0.001 -9.615 0.890
O 0.457 -13.626 3.439
O 0.869 -6.455 0.988
O 0.303 -4.610 -0.478
O 0.565 -11.460 2.356
O 3.133 -5.280 -2.042
O -2.266 -10.790 3.920
O -2.079 -7.410 2.034
O 3.611 -14.482 3.543
O 2.946 -8.660 -0.156
O -2.743 -1.588 -1.666
O -1.308 -6.283 0.039
O 2.468 -12.353 3.469
O 2.176 -9.787 1.839
O -1.601 -3.717 -1.591
O -0.567 -4.703 1.787
O 1.666 -13.390 1.377
O 1.435 -11.367 0.091
O -0.798 -2.680 0.501
CELL_PARAMETERS angstrom
-4.159 -1.115 -1.007
3.627 -2.700 -4.902
1.399 -12.255 7.787

No. 6
! CaB2H8 (meta-GGA SCAN, PBEsol geometry); values from VASP
! size of the total moment = 0.000 μB/atom
! calculated volume = 8.83 A^3/atom
! electronic total energy = -5.146 eV/atom
! symmetry = Pbca (61)
! E above lowest polymorph = 13 meV/atom
&SYSTEM
  ibrav = 0, nat = 88, ntyp = 3
/
ATOMIC_SPECIES
Ca 40.08 Ca.upf
B 10.81 B.upf
H 1.01 H.upf
ATOMIC_POSITIONS angstrom
Ca -0.165 -5.490 0.333
Ca -4.475 -10.629 3.851
Ca -7.605 -3.398 7.771
Ca -5.141 -6.710 0.474
Ca -8.528 -7.623 5.882
Ca -4.218 -2.484 2.363
Ca -3.552 -6.403 5.741
Ca -1.088 -9.716 -1.557
B -4.736 -10.352 6.559
B -2.579 -6.645 0.894
B -3.312 -3.976 4.429
B -0.259 -3.894 2.379
B -6.064 -4.670 1.990
B -9.811 -5.336 2.598
B -2.629 -8.444 4.224
B -5.381 -9.137 1.785
B -6.113 -6.469 5.320
B -3.957 -2.762 -0.344
B -8.434 -9.219 3.836
B 2.362 -6.451 0.419
B -8.303 -5.969 8.234
B -11.054 -6.663 5.795
B 1.118 -7.778 3.617
B -0.390 -7.144 -2.019
H 0.831 -4.065 1.829
H -10.729 -5.554 6.218
H -1.173 -4.320 -1.487
H -3.387 -1.927 -1.050
H 2.036 -7.559 -0.003
H -5.306 -11.187 7.265
H -3.887 -7.184 7.851
H -4.806 -5.930 -1.637
H -2.897 -4.114 5.582
H -3.039 -7.659 0.360
H -4.350 -3.334 4.527
H -5.866 -8.166 9.300
H -2.484 -5.760 0.034
H 0.896 -8.378 4.670
H -1.736 -8.732 5.019
H -1.128 -9.650 1.299
H -7.956 -5.670 7.087
H -0.492 -4.872 3.102
H -6.209 -7.354 6.181
H -6.075 -3.985 3.016
H -5.188 -8.072 2.370
H -7.277 -6.214 8.867
H -0.737 -7.444 -0.873
H -1.847 -0.981 1.837
H -7.565 -3.464 4.916
H -2.826 -4.948 -3.085
H -4.308 -3.740 -1.009
H -1.519 -6.957 1.426
H -7.684 -10.663 7.142
H -3.191 -9.735 -0.689
H -5.559 -9.962 5.737
H -7.174 -6.157 4.789
H -4.342 -8.922 10.268
H -4.343 -9.780 1.688
H -2.525 -7.284 3.846
H -9.589 -4.735 1.544
H -2.477 -3.349 3.770
H -8.201 -8.242 3.112
H -2.618 -9.129 3.199
H -3.134 -3.151 0.478
H -3.504 -5.041 3.844
H 0.104 -7.719 2.916
H -1.009 -2.451 -0.927
H -6.215 -9.765 2.445
H -10.469 -6.825 4.720
H -3.703 -8.610 4.812
H -5.371 -6.873 4.423
H -7.520 -8.794 7.702
H -5.502 -3.379 6.904
H -3.322 -6.240 1.791
H -6.168 -5.830 2.368
H -4.351 -4.191 -4.054
H -8.796 -5.395 3.298
H -4.384 -9.374 7.224
H -6.846 -12.132 4.377
H -5.796 -9.000 0.632
H -7.527 -9.313 4.668
H -4.990 -4.504 1.403
H -6.957 -4.382 1.195
H -1.166 -3.801 1.547
H -9.524 -9.049 4.386
H -1.416 -6.900 -2.653
H 1.776 -6.289 1.494
H -5.654 -5.455 5.854
CELL_PARAMETERS angstrom
-4.613 -3.106 -4.610
3.838 -7.411 1.153
-7.918 -2.596 9.672

No. 7
! HfH2Pd2 (meta-GGA SCAN, PBEsol geometry); values from VASP
! size of the total moment = 0.000 μB/atom
! calculated volume = 12.78 A^3/atom
! electronic total energy = -26.969 eV/atom
! symmetry = P4/mbm (127)
&SYSTEM
  ibrav = 0, nat = 10, ntyp = 3
/
ATOMIC_SPECIES
H 1.01 H.upf
Hf 178.49 Hf.upf
Pd 106.42 Pd.upf
ATOMIC_POSITIONS angstrom
H -3.540 -0.590 4.157
H -5.944 -2.724 3.175
H -4.991 -2.325 -0.023
H -2.587 -0.192 0.959
Hf 0.000 0.000 0.000
Hf -3.362 -2.538 2.201
Pd -3.389 -2.239 4.784
Pd -5.362 -4.190 2.372
Pd -3.335 -2.838 -0.381
Pd -1.361 -0.886 2.030
CELL_PARAMETERS angstrom
-1.807 2.160 -0.269
-4.801 -4.264 -1.987
-1.923 -0.812 6.389

No. 8
! YHf2Co2 (meta-GGA SCAN, PBEsol geometry); values from VASP
! size of the total moment = 0.000 μB/atom
! calculated volume = 18.47 A^3/atom
! electronic total energy = -37.796 eV/atom
! symmetry = I4/mmm (139)
&SYSTEM
  ibrav = 0, nat = 5, ntyp = 3
/
ATOMIC_SPECIES
Y 88.91 Y.upf
Hf 178.49 Hf.upf
Co 58.93 Co.upf
ATOMIC_POSITIONS angstrom
Y 0.000 0.000 0.000
Hf 0.000 2.152 2.492
Hf 2.152 0.000 2.492
Co 0.000 0.000 3.879
Co 2.152 2.152 1.105
CELL_PARAMETERS angstrom
4.305 0.000 0.000
0.000 4.305 0.000
-2.152 -2.152 4.984

No. 9
! Zr3AuF (meta-GGA SCAN, PBEsol geometry); values from VASP
! size of the total moment = 0.346 μB/atom
! calculated volume = 17.45 A^3/atom
! electronic total energy = -33.819 eV/atom
! symmetry = Pm-3m (221)
! E above lowest polymorph = 0 meV/atom
&SYSTEM
  ibrav = 0, nat = 5, ntyp = 3
/
ATOMIC_SPECIES
Au 196.97 Au.upf
Zr 91.22 Zr.upf
F 19.00 F.upf
ATOMIC_POSITIONS angstrom
Au -2.267 1.866 2.476
Zr -0.664 -0.781 1.966
Zr 0.462 1.958 0.933
Zr -2.065 0.689 -0.424
F 0.000 0.000 0.000
CELL_PARAMETERS angstrom
-4.130 1.378 -0.847
-1.328 -1.562 3.933
0.924 3.916 1.867

No. 10
! CsAs2PdBr (meta-GGA SCAN, PBEsol geometry); values from VASP
! size of the total moment = 0.626 μB/atom
! calculated volume = 39.42 A^3/atom
! electronic total energy = -24.481 eV/atom
! symmetry = P4/mmm (123)
&SYSTEM
  ibrav = 0, nat = 5, ntyp = 4
/
ATOMIC_SPECIES
Cs 132.91 Cs.upf
As 74.92 As.upf
Br 79.90 Br.upf
Pd 106.42 Pd.upf
ATOMIC_POSITIONS angstrom
Cs 0.000 0.000 0.000
As 0.000 2.826 0.000
As 2.826 0.000 0.000
Br 0.000 0.000 3.085
Pd 2.826 2.826 3.085
CELL_PARAMETERS angstrom
5.652 0.000 0.000
0.000 5.652 0.000
0.000 0.000 6.169

No. 11
! SrMnFe (meta-GGA SCAN, PBEsol geometry); values from VASP
! size of the total moment = 0.267 μB/atom
! calculated volume = 17.70 A^3/atom
! electronic total energy = -18.922 eV/atom
! symmetry = Imm2 (44)
&SYSTEM
  ibrav = 0, nat = 3, ntyp = 3
/
ATOMIC_SPECIES
Fe 55.84 Fe.upf
Mn 54.94 Mn.upf
Sr 87.62 Sr.upf
ATOMIC_POSITIONS angstrom
Fe 0.000 0.000 0.593
Mn 1.455 1.642 1.244
Sr 0.000 0.000 3.717
CELL_PARAMETERS angstrom
2.910 0.000 0.000
0.000 3.284 0.000
-1.455 -1.642 5.555

No. 12
! MnRe2Mo (meta-GGA SCAN, PBEsol geometry); values from VASP
! size of the total moment = 0.512 μB/atom
! calculated volume = 14.01 A^3/atom
! electronic total energy = -48.754 eV/atom
! symmetry = Cmm2 (35)
! E above lowest polymorph = 113 meV/atom
&SYSTEM
  ibrav = 0, nat = 4, ntyp = 3
/
ATOMIC_SPECIES
Mn 54.94 Mn.upf
Mo 95.94 Mo.upf
Re 186.21 Re.upf
ATOMIC_POSITIONS angstrom
Mn 0.000 0.000 4.229
Mo 0.901 1.257 2.213
Re 0.000 0.000 8.421
Re 0.901 1.257 6.197
CELL_PARAMETERS angstrom
2.650 0.003 0.000
-0.848 2.510 0.000
0.000 0.000 8.424

No. 13
! AlHg4Ru (meta-GGA SCAN, PBEsol geometry); values from VASP
! size of the total moment = 0.213 μB/atom
! calculated volume = 20.10 A^3/atom
! electronic total energy = -51.729 eV/atom
! symmetry = F-43m (216)
&SYSTEM
  ibrav = 0, nat = 6, ntyp = 3
/
ATOMIC_SPECIES
Al 26.98 Al.upf
Hg 200.59 Hg.upf
Ru 101.07 Ru.upf
ATOMIC_POSITIONS angstrom
Al 0.000 0.000 0.000
Hg 1.331 -3.951 -2.937
Hg 1.259 -6.703 -3.186
Hg 1.045 -5.106 -5.432
Hg 3.455 -5.290 -4.092
Ru 2.659 -7.894 -5.868
CELL_PARAMETERS angstrom
-0.573 -2.317 -5.006
4.263 -2.687 -2.317
-0.144 -5.522 -0.500

No. 14
! Rb3FeF6 (meta-GGA SCAN, PBEsol geometry); values from VASP
! size of the total moment = 0.100 μB/atom
! calculated volume = 18.18 A^3/atom
! electronic total energy = -12.860 eV/atom
! symmetry = I4/mmm (139)
&SYSTEM
  ibrav = 0, nat = 10, ntyp = 3
/
ATOMIC_SPECIES
Rb 85.47 Rb.upf
Fe 55.84 Fe.upf
F 19.00 F.upf
ATOMIC_POSITIONS angstrom
Rb -2.053 -3.278 -6.258
Rb 0.880 -1.476 -3.498
Rb -2.933 -1.801 -2.761
Fe 0.000 0.000 0.000
F -0.064 -1.536 -1.007
F -0.153 -3.679 -2.413
F -1.664 0.475 -0.619
F -3.986 1.138 -1.483
F 0.599 -4.282 -4.895
F -1.772 -0.472 -4.861
CELL_PARAMETERS angstrom
-5.650 1.613 -2.102
4.693 -1.152 -4.234
-0.216 -5.215 -3.420

No. 15
! KPtPb (meta-GGA SCAN, PBEsol geometry); values from VASP
! size of the total moment = 0.000 μB/atom
! calculated volume = 26.40 A^3/atom
! electronic total energy = -51.631 eV/atom
! symmetry = I4mm (107)
&SYSTEM
  ibrav = 0, nat = 3, ntyp = 3
/
ATOMIC_SPECIES
Pb 207.20 Pb.upf
K 39.10 K.upf
Pt 195.08 Pt.upf
ATOMIC_POSITIONS angstrom
Pb -0.986 1.025 3.307
K 0.335 0.640 6.524
Pt 1.403 -0.408 3.418
CELL_PARAMETERS angstrom
-0.645 3.460 0.678
-3.256 -0.849 1.235
4.277 -1.983 4.711

No. 16
! BeSb2Br (meta-GGA SCAN, PBEsol geometry); values from VASP
! size of the total moment = 0.000 μB/atom
! calculated volume = 22.46 A^3/atom
! electronic total energy = -24.296 eV/atom
! symmetry = Immm (71)
! E above lowest polymorph = 74 meV/atom
&SYSTEM
  ibrav = 0, nat = 4, ntyp = 3
/
ATOMIC_SPECIES
Sb 121.76 Sb.upf
Br 79.90 Br.upf
Be 9.01 Be.upf
ATOMIC_POSITIONS angstrom
Sb 1.653 2.454 2.079
Sb 0.000 0.000 3.459
Br 1.653 0.000 0.000
Be 0.000 2.454 0.000
CELL_PARAMETERS angstrom
3.305 0.000 0.000
0.000 4.908 0.000
-1.653 -2.454 5.539

No. 17
! BaHg11 (meta-GGA SCAN, PBEsol geometry); values from VASP
! size of the total moment = 0.000 μB/atom
! calculated volume = 24.72 A^3/atom
! electronic total energy = -65.981 eV/atom
! symmetry = Pm-3m (221)
&SYSTEM
  ibrav = 0, nat = 36, ntyp = 2
/
ATOMIC_SPECIES
Ba 137.33 Ba.upf
Hg 200.59 Hg.upf
ATOMIC_POSITIONS angstrom
Ba -4.278 -0.883 2.012
Ba -0.225 -4.204 -2.325
Ba 2.186 -2.163 3.698
Hg -2.318 -7.250 3.385
Hg -0.714 -2.233 1.042
Hg 2.000 -11.044 2.943
Hg -6.947 -9.274 0.609
Hg -3.610 -6.449 8.945
Hg -6.635 -3.455 3.827
Hg -3.922 -12.267 5.727
Hg 2.311 -5.226 6.161
Hg -1.026 -8.051 -2.176
Hg 1.352 -4.390 0.947
Hg 2.569 -8.343 1.799
Hg 1.212 -7.000 -0.497
Hg 2.709 -5.733 3.243
Hg -1.443 -2.100 3.937
Hg -2.742 -3.991 7.482
Hg -0.086 -3.443 6.233
Hg -4.099 -2.649 5.186
Hg -3.105 -3.508 -0.216
Hg -5.901 -6.666 -0.411
Hg -5.761 -4.057 1.033
Hg -3.245 -6.118 -1.660
Hg -3.227 -4.298 2.748
Hg -1.409 -10.202 4.021
Hg -3.436 -8.196 0.592
Hg -1.200 -6.303 6.178
Hg -1.347 -5.837 0.737
Hg -3.288 -8.662 6.032
Hg 0.679 -7.843 4.167
Hg -5.315 -6.657 2.603
Hg -0.230 -4.891 3.530
Hg -4.406 -9.609 3.240
Hg -4.197 -5.710 5.396
Hg -0.438 -8.789 1.374
CELL_PARAMETERS angstrom
-0.451 -8.408 -4.650
4.371 -4.325 7.396
-8.556 -1.767 4.024

No. 18
! SrCaRu2 (meta-GGA SCAN, PBEsol geometry); values from VASP
! size of the total moment = 0.547 μB/atom
! calculated volume = 20.08 A^3/atom
! electronic total energy = -24.658 eV/atom
! symmetry = P4/mmm (123)
! E above lowest polymorph = 410 meV/atom
&SYSTEM
  ibrav = 0, nat = 4, ntyp = 3
/
ATOMIC_SPECIES
Ru 101.07 Ru.upf
Ca 40.08 Ca.upf
Sr 87.62 Sr.upf
ATOMIC_POSITIONS angstrom
Ru 0.000 2.132 0.000
Ru 2.132 0.000 0.000
Ca 0.000 0.000 2.209
Sr 2.132 2.132 2.209
CELL_PARAMETERS angstrom
4.264 0.000 0.000
0.000 4.264 0.000
0.000 0.000 4.418

No. 19
! LuAlFe (meta-GGA SCAN, PBEsol geometry); values from VASP
! size of the total moment = 0.575 μB/atom
! calculated volume = 16.45 A^3/atom
! electronic total energy = -27.421 eV/atom
! symmetry = Amm2 (38)
&SYSTEM
  ibrav = 0, nat = 12, ntyp = 3
/
ATOMIC_SPECIES
Lu 174.97 Lu.upf
Al 26.98 Al.upf
Fe 55.84 Fe.upf
ATOMIC_POSITIONS angstrom
Lu 2.611 1.530 6.791
Lu 0.000 3.074 5.837
Lu 0.000 3.074 2.484
Lu 2.611 1.530 1.530
Al 0.000 1.499 0.000
Al 3.947 0.748 4.160
Al 1.276 0.748 4.160
Al 2.611 3.047 4.160
Fe 2.611 4.450 6.353
Fe 2.611 4.450 1.968
Fe -1.296 3.818 0.000
Fe 1.296 3.818 0.000
CELL_PARAMETERS angstrom
5.223 0.000 0.000
-2.611 4.541 0.000
0.000 0.000 8.321